Entry 1:
Compound: TlAg14Au
Source: Alexandria
Functional: PBE
Structure: optimized geometry

Values from the calculation:
- Total DFT energy (no corrections): -45.03 eV/cell
- D(E_F): 0.30 states/eV per atom

The structure in extended XYZ format:
```
16
Lattice="9.678 0.000 0.000 0.000 2.962 5.136 0.000 -2.962 5.136" Properties=species:S:1:pos:R:3 pbc="T T T"
Tl 0.000 0.000 0.000
Ag 0.000 -1.476 2.564
Ag 0.000 1.476 2.564
Ag 2.430 0.000 6.830
Ag 2.474 -1.467 4.253
Ag 2.481 0.000 1.711
Ag 2.474 1.467 4.253
Ag 4.839 0.000 3.404
Ag 4.839 -1.477 5.973
Ag 4.839 1.477 5.973
Ag 4.839 0.000 8.536
Ag 7.204 -1.467 4.253
Ag 7.197 0.000 1.711
Ag 7.204 1.467 4.253
Ag 7.248 0.000 6.830
Au 0.000 0.000 5.123
```

---

Entry 2:
Compound: Tl5AgAu6
Source: Alexandria
Functional: PBE
Structure: optimized geometry

Values from the calculation:
- Total DFT energy (no corrections): -33.90 eV/cell
- D(E_F): 0.34 states/eV per atom

The structure in extended XYZ format:
```
12
Lattice="3.013 -6.849 0.000 3.013 6.849 0.000 -2.407 0.000 7.006" Properties=species:S:1:pos:R:3 pbc="T T T"
Tl 0.000 0.000 0.000
Tl 3.013 2.677 0.000
Tl 1.810 1.817 3.503
Tl 1.810 -1.817 3.503
Tl 3.013 -2.677 0.000
Ag -1.203 0.000 3.503
Au 2.107 4.490 2.082
Au 1.514 4.490 4.924
Au 0.688 0.000 5.601
Au 2.932 0.000 1.405
Au 2.107 -4.490 2.082
Au 1.514 -4.490 4.924
```

---

Entry 3:
Compound: TlAgAu2
Source: Alexandria
Functional: PBE
Structure: optimized geometry

Values from the calculation:
- Polymorph energy (0 for the lowest one): 3.9 kJ per mole of atoms
- D(E_F): 0.37 states/eV per atom

The structure in extended XYZ format:
```
8
Lattice="8.477 0.000 0.000 0.000 4.877 0.000 -0.039 0.000 5.225" Properties=species:S:1:pos:R:3 pbc="T T T"
Tl 0.000 0.000 0.000
Tl 4.239 2.438 0.000
Ag -0.019 2.438 2.613
Ag 4.219 0.000 2.613
Au 1.426 0.000 2.620
Au 2.773 2.438 2.605
Au 5.665 2.438 2.620
Au 7.012 0.000 2.605
```

---

Entry 4:
Compound: TlAg4Au4
Source: Alexandria
Functional: PBE
Structure: optimized geometry

Values from the calculation:
- Total DFT energy (no corrections): -26.80 eV/cell
- D(E_F): 0.23 states/eV per atom

The structure in extended XYZ format:
```
9
Lattice="-4.489 4.489 2.099 4.489 -4.489 2.099 4.489 4.489 -2.099" Properties=species:S:1:pos:R:3 pbc="T T T"
Tl 0.000 0.000 0.000
Ag 3.032 0.000 0.000
Ag 5.946 0.000 0.000
Ag 0.000 3.032 0.000
Ag 0.000 5.946 0.000
Au 2.951 2.951 0.000
Au 1.539 -1.539 2.099
Au -1.539 1.539 2.099
Au 1.539 1.539 2.099
```

---

Entry 5:
Compound: TlAg4Au7
Source: Alexandria
Functional: PBE
Structure: optimized geometry

Values from the calculation:
- Total DFT energy (no corrections): -35.51 eV/cell
- D(E_F): 0.29 states/eV per atom

The structure in extended XYZ format:
```
12
Lattice="5.269 -2.604 0.000 5.269 2.604 0.000 -4.973 0.000 8.932" Properties=species:S:1:pos:R:3 pbc="T T T"
Tl 0.000 0.000 0.000
Ag -1.923 0.000 6.883
Ag 0.968 0.000 6.104
Ag 4.598 0.000 2.829
Ag 7.488 0.000 2.049
Au -1.088 0.000 4.135
Au 2.657 0.000 0.787
Au 1.658 0.000 3.388
Au 5.269 0.000 0.000
Au 3.908 0.000 5.544
Au 2.909 0.000 8.145
Au 6.653 0.000 4.797
```

---

Entry 6:
Compound: Tm4TlAg2Au
Source: Alexandria
Functional: PBE
Structure: optimized geometry

Values from the calculation:
- Total DFT energy (no corrections): -33.03 eV/cell
- D(E_F): 0.74 states/eV per atom

The structure in extended XYZ format:
```
8
Lattice="2.559 1.477 8.365 -2.559 1.477 8.365 0.000 -2.955 8.365" Properties=species:S:1:pos:R:3 pbc="T T T"
Tm 0.000 0.000 3.003
Tm 0.000 0.000 9.295
Tm 0.000 0.000 15.799
Tm 0.000 0.000 22.092
Tl 0.000 0.000 12.547
Ag 0.000 0.000 6.169
Ag 0.000 0.000 18.925
Au 0.000 0.000 0.000
```

---

Entry 7:
Compound: ZrTlAgAu
Source: Alexandria
Functional: PBE
Structure: optimized geometry

Values from the calculation:
- Total DFT energy (no corrections): -70.09 eV/cell
- D(E_F): 0.48 states/eV per atom

The structure in extended XYZ format:
```
16
Lattice="6.879 0.000 0.000 0.000 6.879 0.000 0.000 0.000 6.879" Properties=species:S:1:pos:R:3 pbc="T T T"
Zr 0.000 0.000 0.000
Zr 0.000 3.439 3.439
Zr 3.439 0.000 3.439
Zr 3.439 3.439 0.000
Tl 1.720 1.720 5.159
Tl 1.720 5.159 1.720
Tl 5.159 1.720 1.720
Tl 5.159 5.159 5.159
Ag 0.000 0.000 3.439
Ag 0.000 3.439 0.000
Ag 3.439 0.000 0.000
Ag 3.439 3.439 3.439
Au 1.720 1.720 1.720
Au 1.720 5.159 5.159
Au 5.159 1.720 5.159
Au 5.159 5.159 1.720
```

---

Entry 8:
Compound: Tm4AgAu3
Source: Alexandria
Functional: PBE
Structure: optimized geometry

Values from the calculation:
- Total DFT energy (no corrections): -36.63 eV/cell
- D(E_F): 0.48 states/eV per atom

The structure in extended XYZ format:
```
8
Lattice="5.054 0.000 0.000 0.000 5.054 0.000 0.000 0.000 7.051" Properties=species:S:1:pos:R:3 pbc="T T T"
Tm 0.000 2.527 1.746
Tm 0.000 2.527 5.305
Tm 2.527 0.000 1.746
Tm 2.527 0.000 5.305
Ag 0.000 0.000 3.525
Au 0.000 0.000 0.000
Au 2.527 2.527 0.000
Au 2.527 2.527 3.525
```

---

Entry 9:
Compound: Tm2AgAu6
Source: Alexandria
Functional: PBE
Structure: optimized geometry

Values from the calculation:
- Total DFT energy (no corrections): -72.58 eV/cell
- D(E_F): 0.36 states/eV per atom

The structure in extended XYZ format:
```
18
Lattice="6.775 -5.309 0.000 6.775 5.309 0.000 -1.067 0.000 5.052" Properties=species:S:1:pos:R:3 pbc="T T T"
Tm 2.144 1.449 0.542
Tm 1.610 -1.449 3.068
Tm 10.874 1.449 1.984
Tm 10.340 -1.449 4.510
Ag 5.975 1.479 3.789
Ag 6.509 -1.479 1.263
Au 5.466 4.086 2.317
Au 7.551 4.086 0.209
Au 3.120 1.084 3.364
Au 5.091 1.423 1.075
Au 3.653 -1.084 0.838
Au 7.926 1.423 1.451
Au 4.558 -1.423 3.601
Au 8.831 1.084 4.214
Au 7.393 -1.423 3.977
Au 9.364 -1.084 1.688
Au 4.933 -4.086 4.843
Au 7.018 -4.086 2.735
```

---

Entry 10:
Compound: Tm12AgAu6
Source: Alexandria
Functional: PBE
Structure: optimized geometry

Values from the calculation:
- Total DFT energy (no corrections): -83.90 eV/cell
- D(E_F): 1.08 states/eV per atom

The structure in extended XYZ format:
```
19
Lattice="6.423 3.709 3.864 -6.423 3.709 3.864 0.000 -7.417 3.864" Properties=species:S:1:pos:R:3 pbc="T T T"
Tm -3.920 -4.194 6.467
Tm -5.592 1.297 5.124
Tm -1.605 -2.035 4.570
Tm 1.672 -5.492 5.124
Tm -2.565 0.372 7.021
Tm -0.960 2.407 4.570
Tm 0.960 -2.407 7.021
Tm 2.565 -0.372 4.570
Tm -1.672 5.492 6.467
Tm 1.605 2.035 7.021
Tm 5.592 -1.297 6.467
Tm 3.920 4.194 5.124
Ag 0.000 0.000 0.000
Au -3.062 0.527 4.073
Au 1.075 -2.915 4.073
Au -1.988 -2.388 7.518
Au 1.988 2.388 4.073
Au -1.075 2.915 7.518
Au 3.062 -0.527 7.518
```

---

Entry 11:
Compound: TmAgAu
Source: Alexandria
Functional: PBE
Structure: optimized geometry

Values from the calculation:
- Polymorph energy (0 for the lowest one): 18.0 kJ per mole of atoms
- D(E_F): 0.42 states/eV per atom

The structure in extended XYZ format:
```
6
Lattice="4.028 0.000 0.000 0.000 4.904 0.000 0.000 0.000 7.251" Properties=species:S:1:pos:R:3 pbc="T T T"
Tm 0.000 0.000 0.000
Tm 2.014 2.452 3.626
Ag 0.000 0.000 4.128
Ag 2.014 2.452 0.503
Au 0.000 2.452 5.659
Au 2.014 0.000 2.033
```

---

Entry 12:
Compound: TmAg12Au6
Source: Alexandria
Functional: PBE
Structure: optimized geometry

Values from the calculation:
- Total DFT energy (no corrections): -59.11 eV/cell
- D(E_F): 0.31 states/eV per atom

The structure in extended XYZ format:
```
19
Lattice="5.716 3.300 3.205 -5.716 3.300 3.205 0.000 -6.600 3.205" Properties=species:S:1:pos:R:3 pbc="T T T"
Tm 0.000 0.000 0.000
Ag -1.515 -3.976 3.205
Ag -4.201 0.676 3.205
Ag -2.276 -1.314 4.374
Ag 1.515 -3.976 3.205
Ag -2.686 3.300 3.205
Ag 0.000 -2.628 5.240
Ag -2.276 1.314 5.240
Ag 2.276 -1.314 4.374
Ag 0.000 2.628 4.374
Ag 4.201 0.676 3.205
Ag 2.686 3.300 3.205
Ag 2.276 1.314 5.240
Au 0.000 -1.670 2.438
Au -1.446 0.835 2.438
Au 1.446 0.835 2.438
Au -1.446 -0.835 7.176
Au 1.446 -0.835 7.176
Au 0.000 1.670 7.176
```

---

- D(E_F) of number 1 (TlAg14Au)?
  0.30 states/eV per atom

---

- Which value of D(E_F) does entry 2 give?
  0.34 states/eV per atom

---

- Look up the D(E_F) of the third one.
  0.37 states/eV per atom

---

- Among the records above, which one has the highest D(E_F)?
  Tm12AgAu6